VASP calculation (PBE-GGA) on a geometry-optimized CaCrCu2Ni structure.

Total energy   -4.39 eV/atom
Volume   19.95 Å³/atom

Unit cell a=4.5720 b=4.5720 c=4.7721 alpha=90.00 beta=90.00 gamma=90.00
Space group P4/mmm (No. 123)
Inequivalent atoms, fractional coordinates:
Ca (0.0000, 0.0000, 0.0000) x1
Cr (0.5000, 0.5000, 0.0000) x1
Cu (0.0000, 0.5000, 0.5000) x2
Ni (0.0000, 0.0000, 0.5000) x1

=====

VASP calculation (PBE-GGA) on a geometry-optimized K2SnHg3Au4 structure.

Total energy   -2.22 eV/atom
Volume   27.67 Å³/atom

Unit cell a=5.0182 b=5.0182 c=10.9878 alpha=90.00 beta=90.00 gamma=90.00
Space group P-4m2 (No. 115)
Inequivalent atoms, fractional coordinates:
K (0.0000, 0.5000, 0.2339) x2
Sn (0.0000, 0.0000, 0.5000) x1
Hg (0.0000, 0.5000, 0.8708) x2
Hg (0.5000, 0.5000, 0.5000) x1
Au (0.0000, 0.0000, 0.0000) x1
Au (0.0000, 0.5000, 0.6161) x2
Au (0.5000, 0.5000, 0.0000) x1

=====

VASP calculation (PBE-GGA) on a geometry-optimized SrTmCdPd structure.

Total energy   -3.45 eV/atom
Volume   25.58 Å³/atom

Unit cell a=7.4250 b=7.4250 c=7.4250 alpha=90.00 beta=90.00 gamma=90.00
Space group F-43m (No. 216)
Inequivalent atoms, fractional coordinates:
Sr (0.0000, 0.0000, 0.0000) x4
Tm (0.0000, 0.0000, 0.5000) x4
Cd (0.2500, 0.2500, 0.2500) x4
Pd (0.2500, 0.2500, 0.7500) x4

=====

VASP calculation (PBE-GGA) on a geometry-optimized Hg2MoW structure.

E above lowest polymorph   274 meV per atom
Total energy   -5.38 eV/atom
Volume   18.27 Å³/atom

Unit cell a=9.7875 b=2.8088 c=5.3398 alpha=90.00 beta=95.38 gamma=90.00
Space group Cm (No. 8)
Inequivalent atoms, fractional coordinates:
Hg (0.0000, 0.0000, 0.0000) x2
Hg (0.2461, 0.0000, 0.7632) x2
Mo (0.9997, 0.5000, 0.4801) x2
W (0.2466, 0.5000, 0.2816) x2

=====

The calculation returns the following calculated formation energy values, one per record and in order: 0.725, -0.201, -0.386, 0.719 eV/atom.